Material: CaMo2O4
Method: DFT, GGA+U
State: optimized geometry

Cell lengths 9.3094, 9.3094, 9.3094 Å; angles 90.00, 90.00, 90.00 degrees
Space group Fd-3m (No. 227, origin choice 2)
Asymmetric unit:
Ca 0.1250 0.1250 0.1250 [8 per cell]
Mo 0.0000 0.0000 0.5000 [16 per cell]
O 0.0154 0.0154 0.7346 [32 per cell]

## Properties
Distance to the lowest polymorph of the same formula (eV per formula unit): 0.000
Crystal system: cubic